[1]
## TlHgCl3 (PBE)

Data for TlHgCl3 after structural relaxation.

Cell: 4.7239 8.5112 8.5125 Å, 71.49 91.72 91.74°
Last column: nearest neighbours and their distance in Å.
Positions (direct):
Cl 0.0025 0.6151 0.4601  1 Hg 2.44
Cl 0.4821 0.2895 0.3218  1 Hg 2.44
Cl 0.9856 0.5565 0.9955  2 Hg 2.71
Cl 0.0024 0.0211 0.0538  1 Hg 2.44
Cl 0.4995 0.3479 0.7868  2 Hg 2.72
Cl 0.4821 0.8829 0.7287  1 Hg 2.44
Hg 0.7429 0.6559 0.6876  4 Cl 2.44-2.72
Hg 0.7430 0.2486 0.0946  4 Cl 2.44-2.72
Tl 0.5195 0.7163 0.1555  8 Cl 3.18-3.50
Tl 0.9638 0.1880 0.6267  8 Cl 3.17-3.51

Properties
- Formation energy from raw total energies: -0.767 eV/atom
- DOS(E_F): 0.0 states/eV/f.u.

[2]
## Ce5Sb2Ru (PBE)

Data for Ce5Sb2Ru after structural relaxation.

Cell: 4.5938 7.8738 12.2811 Å, 90.00 90.00 90.00°
Last column: nearest neighbours and their distance in Å.
Positions (direct):
Ce 0.5000 0.2886 0.5575  2 Ru 2.92
Ce 0.5000 0.7114 0.4425  2 Ru 2.92
Ce 0.0000 0.5000 0.0000  4 Sb 3.25, 4 Ce 3.31
Ce 0.5000 0.7886 0.9425  2 Ru 2.92
Ce 0.0000 0.8759 0.1976  1 Ru 2.62
Ce 0.0000 0.0000 0.5000  4 Sb 3.25, 4 Ce 3.31
Ce 0.0000 0.6241 0.6976  1 Ru 2.62
Ce 0.5000 0.2114 0.0575  2 Ru 2.92
Ce 0.0000 0.1241 0.8024  1 Ru 2.62
Ce 0.0000 0.3759 0.3024  1 Ru 2.62
Sb 0.5000 0.5896 0.1785  9 Ce 3.23-3.38
Sb 0.5000 0.9104 0.6785  9 Ce 3.23-3.38
Sb 0.5000 0.4104 0.8215  9 Ce 3.23-3.38
Sb 0.5000 0.0896 0.3215  9 Ce 3.23-3.38
Ru 0.0000 0.5000 0.5000  6 Ce 2.62-2.92
Ru 0.0000 0.0000 0.0000  6 Ce 2.62-2.92

Properties
- Formation energy from raw total energies: -0.678 eV/atom
- DOS(E_F): 24.0 states/eV/f.u.

[3]
## BaNaAcGe (PBE)

Data for BaNaAcGe after structural relaxation.

Cell: 5.7859 5.7859 5.7859 Å, 60.00 60.00 60.00°
Last column: nearest neighbours and their distance in Å.
Positions (direct):
Ac 0.0000 0.0000 0.0000  4 Na 3.54, 4 Ge 3.54
Ge 0.2500 0.2500 0.2500  4 Ba 3.54, 4 Ac 3.54
Ba 0.5000 0.5000 0.5000  4 Ge 3.54, 4 Na 3.54
Na 0.7500 0.7500 0.7500  4 Ac 3.54, 4 Ba 3.54

Properties
- Final energy: -3.191 eV/atom
- DOS(E_F): 3.0 states/eV/f.u.

[4]
## TbPr2DyAs4 (PBE)

Data for TbPr2DyAs4 after structural relaxation.

Cell: 4.2220 7.3042 7.3081 Å, 70.53 90.00 90.00°
Last column: nearest neighbours and their distance in Å.
Positions (direct):
Tb 0.5000 0.5000 0.0000  6 As 2.94
As 0.0000 0.7394 0.7529  1 Dy 2.94, 2 Tb 2.94, 3 Pr 3.02-3.03
As 0.0000 0.2606 0.2471  1 Dy 2.94, 2 Tb 2.94, 3 Pr 3.02-3.03
As 0.5000 0.7390 0.2542  2 Dy 2.94, 1 Tb 2.94, 3 Pr 3.02-3.03
As 0.5000 0.2610 0.7458  2 Dy 2.94, 1 Tb 2.94, 3 Pr 3.02-3.03
Pr 0.5000 0.0000 0.5000  6 As 3.02
Pr 0.0000 0.0000 0.0000  6 As 3.03
Dy 0.0000 0.5000 0.5000  6 As 2.94

Properties
- Final energy: -6.186 eV/atom
- DOS(E_F): 0.8 states/eV/f.u.

[5]
## Er4Tl3Se8 (PBE)

Data for Er4Tl3Se8 after structural relaxation.

Cell: 8.2893 8.4366 8.4366 Å, 89.58 119.08 119.08°
Last column: nearest neighbours and their distance in Å.
Positions (direct):
Er 0.5000 0.0000 0.0000  6 Se 2.81-2.88
Er 0.0000 0.0000 0.0000  6 Se 2.83-2.91
Er 0.0000 0.5000 0.0000  6 Se 2.98-3.03
Er 0.0000 0.0000 0.5000  6 Se 2.98-3.03
Tl 0.5000 0.0000 0.5000  6 Se 2.98-3.03
Tl 0.5000 0.5000 0.5000  6 Se 3.12-3.19
Tl 0.5000 0.5000 0.0000  6 Se 2.98-3.03
Se 0.9765 0.2316 0.2316  4 Er 2.88-2.98, 1 Tl 3.17
Se 0.4688 0.2193 0.2193  2 Er 2.81-2.83, 2 Tl 2.98
Se 0.0235 0.7684 0.7684  4 Er 2.88-2.98, 1 Tl 3.17
Se 0.0000 0.2426 0.7574  3 Er 2.88-3.00, 2 Tl 3.03
Se 0.5000 0.2375 0.7625  3 Er 2.82-3.03, 3 Tl 3.00-3.12
Se 0.0000 0.7574 0.2426  3 Er 2.88-3.00, 2 Tl 3.03
Se 0.5000 0.7625 0.2375  3 Er 2.82-3.03, 3 Tl 3.00-3.12
Se 0.5312 0.7807 0.7807  2 Er 2.81-2.83, 2 Tl 2.98

Properties
- Formation energy from raw total energies: -1.257 eV/atom
- DOS(E_F): 5.7 states/eV/f.u.

[6]
## RbRuRh (PBE)

Data for RbRuRh after structural relaxation.

Cell: 4.2317 11.8180 4.2330 Å, 100.05 60.01 90.30°
Last column: nearest neighbours and their distance in Å.
Positions (direct):
Rh 0.4669 0.6101 0.0700  1 Rh 2.55, 6 Ru 2.75-2.77
Rh 0.5331 0.3899 0.9300  1 Rh 2.55, 6 Ru 2.75-2.77
Rb 0.7387 0.8068 0.5305  3 Rh 3.34, 1 Ru 3.57
Rb 0.2613 0.1932 0.4695  3 Rh 3.34, 1 Ru 3.57
Ru 0.8338 0.4984 0.3322  3 Ru 2.44
Ru 0.1662 0.5016 0.6678  3 Ru 2.44

Properties
- Final energy: -5.376 eV/atom
- DOS(E_F): 2.7 states/eV/f.u.

[7]
## CaNd3Ga2 (PBE)

Data for CaNd3Ga2 after structural relaxation.

Cell: 5.2500 6.8072 9.4632 Å, 90.00 90.00 90.00°
Last column: nearest neighbours and their distance in Å.
Positions (direct):
Ca 0.5000 0.5119 0.5417  3 Ga 3.22-3.29, 5 Nd 3.43-3.59, 2 Ca 3.49
Ca 0.5000 0.0119 0.4583  3 Ga 3.22-3.29, 5 Nd 3.43-3.59, 2 Ca 3.49
Ga 0.5000 0.2276 0.1550  6 Nd 3.12-3.26, 1 Ca 3.22
Ga 0.0000 0.7694 0.3420  5 Nd 3.08-3.23, 2 Ca 3.29
Ga 0.0000 0.2694 0.6580  5 Nd 3.08-3.23, 2 Ca 3.29
Ga 0.5000 0.7276 0.8450  6 Nd 3.12-3.26, 1 Ca 3.22
Nd 0.0000 0.7992 0.6665  4 Ga 3.08-3.20
Nd 0.5000 0.6992 0.1737  4 Ga 3.11-3.22, 1 Ca 3.43
Nd 0.0000 0.2992 0.3335  4 Ga 3.08-3.20
Nd 0.5000 0.1992 0.8263  4 Ga 3.11-3.22, 1 Ca 3.43
Nd 0.0000 0.4926 0.9594  3 Ga 3.23-3.26, 7 Nd 3.47-3.60
Nd 0.0000 0.9926 0.0406  3 Ga 3.23-3.26, 7 Nd 3.47-3.60

Properties
- Final energy: -4.121 eV/atom
- DOS(E_F): 5.3 states/eV/f.u.

[8]
## NiAs2P (PBE)

Data for NiAs2P after structural relaxation.

Cell: 4.4160 4.4160 3.2941 Å, 90.00 90.00 103.38°
Last column: nearest neighbours and their distance in Å.
Positions (direct):
As 0.5000 0.0000 0.0000  2 As 2.74, 4 Ni 2.75, 4 P 2.75
As 0.0000 0.5000 0.0000  2 As 2.74, 4 P 2.75, 4 Ni 2.75
Ni 0.0000 0.0000 0.5000  2 P 2.74, 8 As 2.75
P 0.5000 0.5000 0.5000  2 Ni 2.74, 8 As 2.75

Properties
- Final energy: -4.735 eV/atom
- DOS(E_F): 2.1 states/eV/f.u.

no.,size of the total moment (μB per cell)
1,0.000
2,8.841
3,0.000
4,0.000
5,0.000
6,0.526
7,0.001
8,0.000